Entry 1:
Si2AsSe after structural relaxation, computed with PBE-GGA.

Lattice parameters (Å, degrees): 3.3813 4.3692 6.8170 71.07 90.00 90.00
Fractional positions:
Si: 0.0000 0.9458 0.0809
Si: 0.5000 0.3088 0.1698
As: 0.0000 0.4697 0.3851
Se: 0.5000 0.7757 0.8642

Properties
space group	Pm
uncorrected formation energy	0.0033	eV/atom
calculated total energy	-4.742	eV per atom
calculated density	3.66	g/cm³

***

Entry 2:
AlCl after structural relaxation, computed with PBE-GGA.

Lattice parameters (Å, degrees): 3.6342 3.6342 3.6342 90.00 90.00 90.00
Fractional positions:
Al: 0.0000 0.0000 0.0000
Cl: 0.5000 0.5000 0.5000

Properties
space group	Pm-3m
uncorrected formation energy	-0.2232	eV/atom
calculated total energy	-3.018	eV per atom
calculated density	2.16	g/cm³

***

Entry 3:
CsSiI2 after structural relaxation, computed with PBE-GGA.

Lattice parameters (Å, degrees): 7.2051 7.2051 10.0826 69.07 69.07 90.00
Each line ends with the local moment (μB).
Fractional positions:
Cs: 0.0000 0.0000 0.0000  0.00
Cs: 0.7500 0.2500 0.5000  0.00
I: 0.2405 0.6250 0.2500  0.01
I: 0.3750 0.4905 0.7500  0.01
I: 0.8750 0.7595 0.7500  0.01
I: 0.5095 0.1250 0.2500  0.01
Si: 0.2500 0.7500 0.5000  0.28
Si: 0.5000 0.5000 0.0000  0.28

Properties
space group	I-42d
uncorrected formation energy	-0.2681	eV/atom
calculated total energy	-2.612	eV per atom
calculated density	3.05	g/cm³

***

Entry 4:
TeRuBr2 after structural relaxation, computed with PBE-GGA.

Lattice parameters (Å, degrees): 3.1880 3.1880 10.3200 90.00 90.00 90.00
Fractional positions:
Te: 0.5000 0.5000 0.6672
Ru: 0.0000 0.0000 0.5209
Br: 0.0000 0.0000 0.9711
Br: 0.5000 0.5000 0.3408

Properties
space group	P4mm
uncorrected formation energy	0.1894	eV/atom
calculated total energy	-3.751	eV per atom
calculated density	6.15	g/cm³

***

Entry 5:
LiHf2MgCr after structural relaxation, computed with PBE-GGA.

Lattice parameters (Å, degrees): 4.6942 5.0156 4.6942 90.00 90.00 90.00
Fractional positions:
Cr: 0.0000 0.0000 0.0000
Li: 0.0000 0.5000 0.0000
Mg: 0.5000 0.5000 0.5000
Hf: 0.0000 0.0000 0.5000
Hf: 0.5000 0.0000 0.0000

Properties
space group	P4/mmm
calculated total energy	-5.964	eV per atom
formation energy from the elements	643.3	meV per atom
calculated density	6.61	g/cm³

***

Entry 6:
BaLiEu2 after structural relaxation, computed with PBE-GGA.

Lattice parameters (Å, degrees): 4.1101 4.1101 10.2094 90.00 90.00 90.00
Each line ends with the local moment (μB).
Fractional positions:
Ba: 0.5000 0.5000 0.5000  0.08
Li: 0.5000 0.5000 0.0000  0.03
Eu: 0.0000 0.0000 0.1928  7.01
Eu: 0.0000 0.0000 0.8072  7.01

Properties
space group	P4/mmm
calculated total energy	-6.032	eV per atom
formation energy from the elements	64.6	meV per atom
calculated density	4.32	g/cm³

***

Entry 7:
YTa2Os after structural relaxation, computed with PBE-GGA.

Lattice parameters (Å, degrees): 4.2393 3.0835 6.4426 73.21 90.00 90.00
Fractional positions:
Ta: 0.5000 0.2435 0.1980
Ta: 0.0000 0.9493 0.9861
Y: 0.0000 0.5382 0.5173
Os: 0.5000 0.7690 0.7985

Properties
space group	Pm
calculated total energy	-10.172	eV per atom
formation energy from the elements	177.4	meV per atom
calculated density	13.20	g/cm³

***

Entry 8:
ZrMnSb2 after structural relaxation, computed with PBE-GGA.

Lattice parameters (Å, degrees): 5.7517 5.7517 4.3006 83.95 83.95 39.03
Each line ends with the local moment (μB).
Fractional positions:
Mn: 0.2715 0.2715 0.1563  3.51
Sb: 0.7444 0.7444 0.6545  -0.05
Sb: 0.0230 0.0230 0.0854  -0.04
Zr: 0.4611 0.4611 0.6038  -0.14

Properties
space group	Cm
uncorrected formation energy	-0.2351	eV/atom
calculated total energy	-6.726	eV per atom
calculated density	7.27	g/cm³

***

Entry 9:
SmDyEr2In4 after structural relaxation, computed with PBE-GGA.

Lattice parameters (Å, degrees): 5.3180 5.3180 9.2330 73.26 73.26 60.00
Fractional positions:
In: 0.1258 0.1258 0.6225
In: 0.8742 0.8742 0.3775
In: 0.3759 0.3759 0.8723
In: 0.6241 0.6241 0.1277
Sm: 0.0000 0.0000 0.0000
Er: 0.7502 0.7502 0.7495
Er: 0.2498 0.2498 0.2505
Dy: 0.5000 0.5000 0.5000

Properties
space group	R-3m
calculated total energy	-4.133	eV per atom
formation energy from the elements	-458.0	meV per atom
calculated density	8.62	g/cm³

***

Entry 10:
LiPaPt after structural relaxation, computed with PBE-GGA.

Lattice parameters (Å, degrees): 3.3263 4.4262 4.4262 120.00 90.00 90.00
Fractional positions:
Pt: 0.1669 0.6667 0.3333
Li: 0.1665 0.0000 0.0000
Pa: 0.6667 0.3333 0.6667

Properties
space group	P-6m2
calculated total energy	-6.268	eV per atom
formation energy from the elements	-451.4	meV per atom
calculated density	12.74	g/cm³

***

Entry 11:
In2TeH6 after structural relaxation, computed with PBE-GGA.

Lattice parameters (Å, degrees): 5.7096 8.2354 8.2082 152.22 90.00 110.28
Fractional positions:
H: 0.6747 0.8141 0.9993
H: 0.7454 0.0000 0.5000
H: 0.3253 0.1859 0.0007
H: 0.8606 0.1859 0.0007
H: 0.2546 0.0000 0.5000
H: 0.1394 0.8141 0.9993
In: 0.6699 0.3398 0.9939
In: 0.3301 0.6602 0.0061
Te: 0.0000 0.0000 0.0000

Properties
space group	C2/m
calculated total energy	-2.763	eV per atom
calculated density	5.02	g/cm³

***

Entry 12:
Sr2TmCdAu6 after structural relaxation, computed with PBE-GGA.

Lattice parameters (Å, degrees): 7.5871 7.5871 7.5871 60.00 60.00 90.00
Fractional positions:
Au: 0.2478 0.2478 0.5044
Au: 0.7522 0.2478 0.0000
Au: 0.7522 0.7522 0.4956
Au: 0.2478 0.2478 0.0000
Au: 0.7522 0.7522 0.0000
Au: 0.2478 0.7522 0.0000
Tm: 0.5000 0.5000 0.0000
Cd: 0.0000 0.0000 0.0000
Sr: 0.7500 0.2500 0.5000
Sr: 0.2500 0.7500 0.5000

Properties
space group	Fm-3m
calculated total energy	-3.088	eV per atom
formation energy from the elements	-247.0	meV per atom
calculated density	8.81	g/cm³

***

- Which of these has the lowest calculated density?
  AlCl

***

- What is the calculated density in the seventh record?
  13.20 g/cm³

***

- Among the records above, which one has the lowest calculated density?
  AlCl